Record 1
MnCuHg2: relaxed, GGA-PBE.

Cell: 8.9425 8.9425 8.9425 Å, 20.05 20.05 20.05°
Last column: nearest neighbours and their distance in Å.
Positions (direct):
Mn1 0.0000 0.0000 0.0000  6 Hg 2.88, 6 Mn 3.11
Cu1 0.5000 0.5000 0.5000  6 Hg 2.79, 6 Cu 3.11
Hg1 0.2479 0.2479 0.2479  3 Cu 2.79, 3 Mn 2.88, 6 Hg 3.11
Hg2 0.7521 0.7521 0.7521  3 Cu 2.79, 3 Mn 2.88, 6 Hg 3.11

Properties
Space-group type = R-3m (166)
VASP energy = -3.14 eV per atom
Formation enthalpy at 0 K = 127 kJ/mol of formula units
Offset from the most stable computed form = 0.367 eV/f.u.


Record 2
MnCu2Hg: relaxed, GGA-PBE.

Cell: 8.7191 8.7191 8.7191 Å, 19.22 19.22 19.22°
Last column: nearest neighbours and their distance in Å.
Positions (direct):
Mn1 0.0000 0.0000 0.0000  3 Cu 2.58
Cu1 0.2573 0.2573 0.2573  3 Cu 2.53, 3 Mn 2.58
Cu2 0.5171 0.5171 0.5171  3 Cu 2.53
Hg1 0.7609 0.7609 0.7609  3 Cu 2.85, 6 Hg 2.91, 3 Mn 2.95

Properties
Space-group type = R3m (160)
VASP energy = -4.10 eV per atom
Formation enthalpy at 0 K = 124 kJ/mol of formula units


Record 3
Mn4CuHg: relaxed, GGA-PBE.

Cell: 4.8402 4.8402 4.8402 Å, 60.00 60.00 60.00°
Last column: nearest neighbours and their distance in Å.
Positions (direct):
Mn1 0.1240 0.1240 0.1240  6 Mn 2.40-2.44
Mn2 0.1240 0.1240 0.6280  6 Mn 2.40-2.44
Mn3 0.1240 0.6280 0.1240  6 Mn 2.40-2.44
Mn4 0.6280 0.1240 0.1240  6 Mn 2.40-2.44
Cu1 0.7500 0.7500 0.7500  12 Mn 2.84, 4 Hg 2.96
Hg1 0.5000 0.5000 0.5000  12 Mn 2.84, 4 Cu 2.96

Properties
Space-group type = F-43m (216)
VASP energy = -6.35 eV per atom
Formation enthalpy at 0 K = 288 kJ/mol of formula units


Record 4
MnCuHg2: relaxed, GGA-PBE.

Cell: 5.5325 5.5325 5.5325 Å, 145.85 129.95 61.99°
Last column: nearest neighbours and their distance in Å.
Positions (direct):
Mn1 0.0000 0.0000 0.0000  2 Cu 2.61, 4 Hg 2.87
Cu1 0.2157 0.7157 0.5000  2 Mn 2.61, 6 Hg 2.84-2.86
Hg1 0.4608 0.4608 0.0000  2 Cu 2.84, 4 Mn 2.87, 4 Hg 3.10-3.15
Hg2 0.7387 0.2387 0.5000  4 Cu 2.86, 2 Mn 2.96, 4 Hg 3.10-3.15

Properties
Space-group type = Imm2 (44)
VASP energy = -3.17 eV per atom
Formation enthalpy at 0 K = 113 kJ/mol of formula units
Offset from the most stable computed form = 0.219 eV/f.u.


Record 5
MnCu2Hg: relaxed, GGA-PBE.

Cell: 3.2370 3.1024 6.0156 Å, 90.00 90.24 90.00°
Last column: nearest neighbours and their distance in Å.
Positions (direct):
Mn1 0.0000 0.0000 0.0000  8 Cu 2.59
Cu1 0.4989 0.5000 0.7836  4 Mn 2.59, 1 Cu 2.60, 4 Hg 2.81-2.82
Cu2 0.5011 0.5000 0.2164  4 Mn 2.59, 1 Cu 2.60, 4 Hg 2.81-2.82
Hg1 0.0000 0.0000 0.5000  8 Cu 2.81-2.82, 2 Mn 3.01, 2 Hg 3.10

Properties
Space-group type = P2/m (10)
VASP energy = -4.24 eV per atom
Formation enthalpy at 0 K = 69 kJ/mol of formula units


Record 6
MnCuHg2: relaxed, GGA-PBE.

Cell: 5.1393 5.1393 5.1393 Å, 132.75 132.75 69.04°
Last column: nearest neighbours and their distance in Å.
Positions (direct):
Mn1 0.0000 0.0000 0.0000  8 Hg 2.91-2.95, 4 Cu 2.95
Cu1 0.2500 0.7500 0.5000  8 Hg 2.91-2.95, 4 Mn 2.95
Hg1 0.5000 0.5000 0.0000  4 Mn 2.91, 4 Hg 2.95, 4 Cu 2.95
Hg2 0.7500 0.2500 0.5000  4 Cu 2.91, 4 Hg 2.95, 4 Mn 2.95

Properties
Space-group type = I-4m2 (119)
VASP energy = -3.15 eV per atom
Formation enthalpy at 0 K = 121 kJ/mol of formula units
Offset from the most stable computed form = 0.297 eV/f.u.